The following is a DFT calculation (PBE-GGA) of a geometry-optimized BaTc2Br structure.

```
8
Lattice="4.033 0.000 0.000 0.000 4.033 0.000 0.000 0.000 12.611" Properties=species:S:1:pos:R:3 pbc="T T T"
Ba 0.000 0.000 0.000
Ba 2.016 2.016 6.305
Tc 0.000 2.016 3.153
Tc 0.000 2.016 9.458
Tc 2.016 0.000 3.153
Tc 2.016 0.000 9.458
Br 0.000 0.000 6.305
Br 2.016 2.016 0.000
```

Summary:
Density of states at the Fermi level = 1.26 states/eV per atom
Total magnetic moment = 1.68 μB per formula unit
Space-group type = I4/mmm (139)
Uncorrected formation energy = 3.712 eV per formula unit
Relative energy among the computed polymorphs = 0.797 eV per atom

The following is a DFT calculation (PBE-GGA) of a geometry-optimized Sn2PtRh2 structure.

```
10
Lattice="7.528 0.000 0.000 0.000 7.528 0.000 0.000 0.000 3.076" Properties=species:S:1:pos:R:3 pbc="T T T"
Sn 1.235 2.530 0.000
Sn 2.530 6.294 0.000
Sn 4.999 1.235 0.000
Sn 6.294 4.999 0.000
Pt 0.000 0.000 1.538
Pt 3.764 3.764 1.538
Rh 1.025 4.789 1.538
Rh 2.739 1.025 1.538
Rh 4.789 6.503 1.538
Rh 6.503 2.739 1.538
```

Summary:
Density of states at the Fermi level = 0.48 states/eV per atom
Total magnetic moment = 0.00 μB per formula unit
Space-group type = P4/mbm (127)
Relative energy among the computed polymorphs = 0.089 eV per atom
Formation energy from the elements = -0.32 eV per atom

The following is a DFT calculation (PBE-GGA) of a geometry-optimized PmYCd structure.

```
6
Lattice="3.674 0.000 0.000 0.000 3.674 0.000 0.000 0.000 13.100" Properties=species:S:1:pos:R:3 pbc="T T T"
Pm 0.000 0.000 0.000
Pm 1.837 1.837 6.550
Y 0.000 0.000 4.064
Y 1.837 1.837 10.614
Cd 0.000 0.000 8.664
Cd 1.837 1.837 2.114
```

Summary:
Density of states at the Fermi level = 1.24 states/eV per atom
Total magnetic moment = 0.66 μB per formula unit
Space-group type = I4mm (107)
Relative energy among the computed polymorphs = 0.000 eV per atom
Formation energy from the elements = -0.21 eV per atom

The following is a DFT calculation (PBE-GGA) of a geometry-optimized Li2Sn2Pt structure.

```
10
Lattice="6.610 0.000 0.000 0.000 6.610 0.000 0.000 0.000 4.083" Properties=species:S:1:pos:R:3 pbc="T T T"
Li 0.911 2.394 0.000
Li 2.394 5.699 0.000
Li 4.216 0.911 0.000
Li 5.699 4.216 0.000
Sn 1.150 4.455 2.042
Sn 2.155 1.150 2.042
Sn 4.455 5.460 2.042
Sn 5.460 2.155 2.042
Pt 0.000 0.000 0.000
Pt 3.305 3.305 0.000
```

Summary:
Density of states at the Fermi level = 0.34 states/eV per atom
Total magnetic moment = 0.00 μB per formula unit
Space-group type = P4/mbm (127)
Formation energy from the elements = -0.27 eV per atom

The following is a DFT calculation (PBE-GGA) of a geometry-optimized NaSiSb2Pd structure.

```
5
Lattice="5.290 0.000 0.000 0.000 5.290 0.000 0.000 0.000 4.700" Properties=species:S:1:pos:R:3 pbc="T T T"
Na 0.000 0.000 0.000
Si 2.645 2.645 2.350
Sb 0.000 2.645 0.000
Sb 2.645 0.000 0.000
Pd 0.000 0.000 2.350
```

Summary:
Density of states at the Fermi level = 0.58 states/eV per atom
Total magnetic moment = 0.00 μB per formula unit
Space-group type = P4/mmm (123)
Uncorrected formation energy = 5.328 eV per formula unit

The following is a DFT calculation (PBE-GGA) of a geometry-optimized BaZnRh2 structure.

```
8
Lattice="4.244 0.000 0.000 0.000 5.213 0.000 0.000 0.000 7.355" Properties=species:S:1:pos:R:3 pbc="T T T"
Ba 0.000 0.000 0.000
Ba 2.122 2.606 3.677
Zn 0.000 0.000 3.677
Zn 2.122 2.606 0.000
Rh 0.000 2.606 1.524
Rh 0.000 2.606 5.831
Rh 2.122 0.000 2.153
Rh 2.122 0.000 5.202
```

Summary:
Density of states at the Fermi level = 0.47 states/eV per atom
Total magnetic moment = 0.00 μB per formula unit
Space-group type = Immm (71)
Formation energy from the elements = 0.14 eV per atom

Question: Which of these has the lowest density of states at the Fermi level?
Answer: Li2Sn2Pt